(1)
Crystalline BaMgZn2Ag5 at its relaxed geometry. Source: Alexandria via LeMat-Bulk, functional PBE.

Output
Space group = No. 123

CIF file:
```
data_BaMgZn2Ag5
_chemical_formula_sum 'Ba1 Mg1 Zn2 Ag5'
_space_group_name_H-M_alt 'P 1'
_space_group_IT_number 1
_space_group_name_Hall 'P 1'
_cell_length_a 5.0872
_cell_length_b 5.0872
_cell_length_c 7.8603
_cell_angle_alpha 90.00
_cell_angle_beta 90.00
_cell_angle_gamma 90.00
loop_
_atom_site_label
_atom_site_fract_x
_atom_site_fract_y
_atom_site_fract_z
_atom_site_occupancy
Ba1 0.0000 0.0000 0.5000 1
Ag1 0.5000 0.0000 0.8110 1
Ag2 0.5000 0.5000 0.5000 1
Ag3 0.5000 0.0000 0.1890 1
Ag4 0.0000 0.5000 0.1890 1
Ag5 0.0000 0.5000 0.8110 1
Zn1 0.5000 0.5000 0.8340 1
Zn2 0.5000 0.5000 0.1660 1
Mg1 0.0000 0.0000 0.0000 1
```

(2)
Crystalline Tb5Sn2Hg2 at its relaxed geometry. Source: Alexandria via LeMat-Bulk, functional PBE.

Output
Space group = No. 64

CIF file:
```
data_Tb5Sn2Hg2
_chemical_formula_sum 'Tb10 Sn4 Hg4'
_space_group_name_H-M_alt 'P 1'
_space_group_IT_number 1
_space_group_name_Hall 'P 1'
_cell_length_a 7.9403
_cell_length_b 8.1706
_cell_length_c 8.9162
_cell_angle_alpha 117.27
_cell_angle_beta 90.00
_cell_angle_gamma 90.00
loop_
_atom_site_label
_atom_site_fract_x
_atom_site_fract_y
_atom_site_fract_z
_atom_site_occupancy
Tb1 0.1663 0.4673 0.2784 1
Tb2 0.8337 0.5327 0.7216 1
Tb3 0.0000 0.0000 0.0000 1
Tb4 0.6663 0.0327 0.7216 1
Tb5 0.6663 0.3111 0.2784 1
Tb6 0.8337 0.8111 0.2784 1
Tb7 0.5000 0.5000 0.0000 1
Tb8 0.3337 0.6889 0.7216 1
Tb9 0.1663 0.1889 0.7216 1
Tb10 0.3337 0.9673 0.2784 1
Sn1 0.5000 0.7049 0.4099 1
Sn2 0.5000 0.2951 0.5901 1
Sn3 0.0000 0.7951 0.5901 1
Sn4 0.0000 0.2049 0.4099 1
Hg1 0.6312 0.8683 0.0000 1
Hg2 0.8688 0.3683 0.0000 1
Hg3 0.3688 0.1317 0.0000 1
Hg4 0.1312 0.6317 0.0000 1
```

Ordered uncorrected energy results: -20.4, -73.1; unit eV for the cell shown.
Ordered density of states at the Fermi level results: 3.211, 20.646; unit states/eV/cell.